A plane-wave DFT calculation with PBE was carried out for an optimized crystal structure of Be5Pb3. Values from VASP.

Structure (Quantum ESPRESSO input):
```
&SYSTEM
  ibrav = 0, nat = 16, ntyp = 2
/
ATOMIC_SPECIES
Be 9.01 Be.upf
Pb 207.20 Pb.upf
CELL_PARAMETERS angstrom
7.1689 0.0000 0.0000
-1.7307 6.9714 0.0000
-1.7504 -3.9023 5.7875
ATOMIC_POSITIONS angstrom
Be 0.0000 0.0000 0.0000
Be 5.4247 0.2080 3.5949
Be -0.2581 0.9349 1.9943
Be -1.9981 1.3358 5.4884
Be 0.7155 -1.0676 1.6121
Be -1.0277 2.1402 3.6156
Be 4.7080 1.2798 1.9857
Be 2.9696 1.1367 5.7714
Be 5.6800 -0.7217 1.5988
Be 3.9386 1.9386 3.8966
Pb -2.5187 4.4840 3.4813
Pb 0.8148 4.1851 2.9360
Pb 1.8462 6.6331 0.1829
Pb 1.8402 0.5495 3.4173
Pb 2.8676 2.9936 0.6574
Pb 6.2000 2.6855 0.0940
```

Calculated values
M_tot ... 0.00 μB per cell
Mass density ... 7655 kg/m³
Energy above the most stable polymorph in this dataset ... 0.0000 eV/atom
Space-group type ... P1 (1)